A relaxed structure of Sr8Ag3Hg2, computed with PBE.

a b c (Å): 9.7129 9.7129 5.5912
angles (deg): 90.00 90.00 109.32
Last column: nearest neighbours and their distance in Å.
Element x y z (fractional)
Sr 0.1233 0.3703 0.5000  3 Ag 3.39-3.41, 2 Hg 3.43-3.47
Sr 0.1228 0.8772 0.0000  4 Ag 3.41-3.44, 2 Hg 3.49
Sr 0.3703 0.1233 0.5000  3 Ag 3.39-3.41, 2 Hg 3.43-3.47
Sr 0.3761 0.6239 0.0000  2 Hg 3.39, 2 Ag 3.41
Sr 0.6239 0.3761 0.0000  2 Hg 3.39, 2 Ag 3.41
Sr 0.6297 0.8767 0.5000  3 Ag 3.39-3.41, 2 Hg 3.43-3.47
Sr 0.8772 0.1228 0.0000  4 Ag 3.41-3.44, 2 Hg 3.49
Sr 0.8767 0.6297 0.5000  3 Ag 3.39-3.41, 2 Hg 3.43-3.47
Ag 0.0000 0.0000 0.5000  8 Sr 3.39-3.41
Ag 0.2520 0.2520 0.0000  8 Sr 3.41-3.44
Ag 0.7480 0.7480 0.0000  8 Sr 3.41-3.44
Hg 0.2552 0.7448 0.5000  8 Sr 3.39-3.49
Hg 0.7448 0.2552 0.5000  8 Sr 3.39-3.49

## Properties
* calculated volume: 497.8 Å³/cell
* calculated formation energy: -0.246 eV per atom


A relaxed structure of SrAgHg2, computed with PBE.

a b c (Å): 8.6572 5.0004 5.8766
angles (deg): 90.00 119.72 90.00
Last column: nearest neighbours and their distance in Å.
Element x y z (fractional)
Sr 0.0000 0.0000 0.0000  4 Ag 3.26-3.43, 7 Hg 3.33-3.46
Sr 0.5000 0.5000 0.0000  4 Ag 3.26-3.43, 7 Hg 3.33-3.46
Ag 0.2878 0.5000 0.3621  3 Hg 2.89
Ag 0.7878 0.0000 0.3621  3 Hg 2.89
Hg 0.2177 0.0000 0.6525  3 Hg 3.22-3.23, 3 Ag 3.24-3.25, 4 Sr 3.33-3.40
Hg 0.4573 0.0000 0.3718  3 Ag 2.89, 3 Hg 3.22-3.23
Hg 0.7177 0.5000 0.6525  3 Hg 3.22-3.23, 3 Ag 3.24-3.25, 4 Sr 3.33-3.40
Hg 0.9573 0.5000 0.3718  3 Ag 2.89, 3 Hg 3.22-3.23

## Properties
* calculated volume: 220.9 Å³/cell
* calculated formation energy: -0.302 eV per atom


A relaxed structure of Sr2Ag2Hg3, computed with PBE.

a b c (Å): 11.0050 4.7288 7.7640
angles (deg): 90.00 111.03 90.00
Last column: nearest neighbours and their distance in Å.
Element x y z (fractional)
Sr 0.1415 0.0000 0.2646  4 Ag 3.23-3.42, 3 Hg 3.42-3.50
Sr 0.3585 0.5000 0.7354  4 Ag 3.23-3.42, 3 Hg 3.42-3.50
Sr 0.6415 0.5000 0.2646  4 Ag 3.23-3.42, 3 Hg 3.42-3.50
Sr 0.8585 0.0000 0.7354  4 Ag 3.23-3.42, 3 Hg 3.42-3.50
Ag 0.1441 0.0000 0.7066  5 Hg 2.98-3.03, 3 Sr 3.23-3.29
Ag 0.3559 0.5000 0.2934  5 Hg 2.98-3.03, 3 Sr 3.23-3.29
Ag 0.6441 0.5000 0.7066  5 Hg 2.98-3.03, 3 Sr 3.23-3.29
Ag 0.8559 0.0000 0.2934  5 Hg 2.98-3.03, 3 Sr 3.23-3.29
Hg 0.0000 0.5000 0.5000  4 Ag 2.98, 2 Hg 3.17
Hg 0.1209 0.5000 0.9374  3 Ag 3.03, 2 Hg 3.14-3.17
Hg 0.3791 0.0000 0.0626  3 Ag 3.03, 2 Hg 3.14-3.17
Hg 0.5000 0.0000 0.5000  4 Ag 2.98, 2 Hg 3.17
Hg 0.6209 0.0000 0.9374  3 Ag 3.03, 2 Hg 3.14-3.17
Hg 0.8791 0.5000 0.0626  3 Ag 3.03, 2 Hg 3.14-3.17

## Properties
* calculated volume: 377.1 Å³/cell
* calculated formation energy: -0.346 eV per atom


A relaxed structure of SrAg4Hg6, computed with PBE.

a b c (Å): 7.4065 7.4065 7.4065
angles (deg): 120.30 120.30 89.47
Last column: nearest neighbours and their distance in Å.
Element x y z (fractional)
Sr 0.0000 0.0000 0.0000  4 Ag 3.61, 12 Hg 3.65-3.90
Ag 0.2636 0.2636 0.6757  6 Hg 2.75-2.99, 2 Ag 2.86
Ag 0.4121 0.7364 0.0000  6 Hg 2.75-2.99, 2 Ag 2.86
Ag 0.5879 0.5879 0.3243  6 Hg 2.75-2.99, 2 Ag 2.86
Ag 0.7364 0.4121 0.0000  6 Hg 2.75-2.99, 2 Ag 2.86
Hg 0.0000 0.5000 0.5000  4 Ag 2.87
Hg 0.1002 0.4819 0.0000  4 Ag 2.75-2.99
Hg 0.4819 0.1002 0.0000  4 Ag 2.75-2.99
Hg 0.5000 0.0000 0.5000  4 Ag 2.87
Hg 0.5181 0.5181 0.6183  4 Ag 2.75-2.99
Hg 0.8998 0.8998 0.3817  4 Ag 2.75-2.99

## Properties
* calculated volume: 286.0 Å³/cell
* calculated formation energy: -0.069 eV per atom


Question: What is the calculated formation energy in the third record?
Answer: -0.346 eV per atom


Question: Which of these has the lowest calculated formation energy?
Answer: Sr2Ag2Hg3